A:
Density functional theory data (PBE-GGA) for crystalline MgTe2F at its relaxed geometry.

abc: 6.958 6.958 6.958
angles: 90.00 90.00 90.00
Space group Fm-3m (No. 225)
Unique sites:
Mg  0.000  0.000  0.000
Te  0.250  0.250  0.250
F  0.000  0.000  0.500

## Properties
DOS at the Fermi energy in states/eV/atom: 0.56
Calculated volume in A^3/atom: 21.1
Total moment in μB per formula unit: 0.00

B:
Density functional theory data (PBE-GGA) for crystalline MgTe2F at its relaxed geometry.

abc: 3.4358 3.4358 27.8085
angles: 90.00 90.00 120.00
Space group R-3m (No. 166, hexagonal axes)
Unique sites:
Mg  0.0000  0.0000  0.0000
Te  0.0000  0.0000  0.4160
F  0.0000  0.0000  0.5000

## Properties
DOS at the Fermi energy in states/eV/atom: 0.71
Calculated volume in A^3/atom: 23.7
Total moment in μB per formula unit: 0.00

C:
Density functional theory data (PBE-GGA) for crystalline MgTe2F at its relaxed geometry.

abc: 4.335 4.335 20.789
angles: 90.00 90.00 90.00
Space group I-42d (No. 122)
Unique sites:
Mg  0.000  0.000  0.000
Te  0.250  0.250  0.125
F  0.000  0.000  0.500

## Properties
DOS at the Fermi energy in states/eV/atom: 0.36
Calculated volume in A^3/atom: 24.4
Total moment in μB per formula unit: 0.00

Which one sits at the top of the stability order? C does.

A:
Density functional theory data (PBE-GGA) for crystalline Mg2TeF at its relaxed geometry.

abc: 6.878 6.878 6.878
angles: 90.00 90.00 90.00
Space group Fm-3m (No. 225)
Unique sites:
Mg  0.250  0.250  0.250
Te  0.000  0.000  0.000
F  0.000  0.000  0.500

## Properties
DOS at the Fermi energy in states/eV/atom: 0.61
Calculated volume in A^3/atom: 20.3
Total moment in μB per formula unit: 0.00

B:
Density functional theory data (PBE-GGA) for crystalline Mg2TeF at its relaxed geometry.

abc: 5.570 5.570 12.066
angles: 90.00 90.00 90.00
Space group I-42d (No. 122)
Unique sites:
Mg  0.147  0.250  0.125
Te  0.000  0.000  0.500
F  0.000  0.000  0.000

## Properties
DOS at the Fermi energy in states/eV/atom: 0.54
Calculated volume in A^3/atom: 23.4
Total moment in μB per formula unit: 0.00

Which one sits at the top of the stability order? B does.

A:
Density functional theory data (PBE-GGA) for crystalline Mg2TiF2 at its relaxed geometry.

abc: 7.492 7.492 2.790
angles: 90.00 90.00 90.00
Space group P4/mbm (No. 127)
Unique sites:
Mg  0.133  0.367  0.000
Ti  0.000  0.000  0.500
F  0.108  0.608  0.500

## Properties
DOS at the Fermi energy in states/eV/atom: 0.72
Calculated volume in A^3/atom: 15.7
Total moment in μB per formula unit: 0.85

B:
Density functional theory data (PBE-GGA) for crystalline Mg2TiF2 at its relaxed geometry.

abc: 4.584 4.584 8.604
angles: 90.00 90.00 90.00
Space group I4/mmm (No. 139)
Unique sites:
Mg  0.000  0.500  0.250
Ti  0.000  0.000  0.000
F  0.000  0.000  0.252

## Properties
DOS at the Fermi energy in states/eV/atom: 0.89
Calculated volume in A^3/atom: 18.1
Total moment in μB per formula unit: 1.85

Which one sits at the top of the stability order? A does.

A:
Density functional theory data (PBE-GGA) for crystalline MgTiF2 at its relaxed geometry.

abc: 5.050 5.050 9.774
angles: 90.00 90.00 90.00
Space group I-42d (No. 122)
Unique sites:
Mg  0.000  0.000  0.000
Ti  0.000  0.000  0.500
F  0.188  0.250  0.125

## Properties
DOS at the Fermi energy in states/eV/atom: 0.78
Calculated volume in A^3/atom: 15.6
Total moment in μB per formula unit: 3.14

B:
Density functional theory data (PBE-GGA) for crystalline MgTiF2 at its relaxed geometry.

abc: 3.1777 3.1777 19.2609
angles: 90.00 90.00 120.00
Space group R-3m (No. 166, hexagonal axes)
Unique sites:
Mg  0.0000  0.0000  0.0000
Ti  0.0000  0.0000  0.5000
F  0.0000  0.0000  0.3805

## Properties
DOS at the Fermi energy in states/eV/atom: 0.40
Calculated volume in A^3/atom: 14.0
Total moment in μB per formula unit: 2.01

C:
Density functional theory data (PBE-GGA) for crystalline MgTiF2 at its relaxed geometry.

abc: 6.074 6.074 6.074
angles: 90.00 90.00 90.00
Space group Fm-3m (No. 225)
Unique sites:
Mg  0.000  0.000  0.000
Ti  0.000  0.000  0.500
F  0.250  0.250  0.250

## Properties
DOS at the Fermi energy in states/eV/atom: 0.12
Calculated volume in A^3/atom: 14.0
Total moment in μB per formula unit: 2.00

Which one sits at the top of the stability order? B does.

A:
Density functional theory data (PBE-GGA) for crystalline MgTi2F at its relaxed geometry.

abc: 6.492 6.492 6.492
angles: 90.00 90.00 90.00
Space group Fm-3m (No. 225)
Unique sites:
Mg  0.000  0.000  0.000
Ti  0.250  0.250  0.250
F  0.000  0.000  0.500

## Properties
DOS at the Fermi energy in states/eV/atom: 1.36
Calculated volume in A^3/atom: 17.1
Total moment in μB per formula unit: 0.78

B:
Density functional theory data (PBE-GGA) for crystalline MgTi2F at its relaxed geometry.

abc: 5.194 5.194 12.116
angles: 90.00 90.00 90.00
Space group I-42d (No. 122)
Unique sites:
Mg  0.000  0.000  0.000
Ti  0.032  0.250  0.625
F  0.000  0.000  0.500

## Properties
DOS at the Fermi energy in states/eV/atom: 1.21
Calculated volume in A^3/atom: 20.4
Total moment in μB per formula unit: 0.00

Which one sits at the top of the stability order? B does.

A:
Density functional theory data (PBE-GGA) for crystalline MgTlF2 at its relaxed geometry.

abc: 3.1903 3.1903 27.1401
angles: 90.00 90.00 120.00
Space group R-3m (No. 166, hexagonal axes)
Unique sites:
Mg  0.0000  0.0000  0.0000
Tl  0.0000  0.0000  0.5000
F  0.0000  0.0000  0.3670

## Properties
DOS at the Fermi energy in states/eV/atom: 0.19
Calculated volume in A^3/atom: 19.9
Total moment in μB per formula unit: 0.00

B:
Density functional theory data (PBE-GGA) for crystalline MgTlF2 at its relaxed geometry.

abc: 3.8895 3.8895 21.4282
angles: 90.00 90.00 120.00
Space group R-3m (No. 166, hexagonal axes)
Unique sites:
Mg  0.0000  0.0000  0.0000
Tl  0.0000  0.0000  0.5000
F  0.0000  0.0000  0.0879

## Properties
DOS at the Fermi energy in states/eV/atom: 0.19
Calculated volume in A^3/atom: 23.4
Total moment in μB per formula unit: 0.00

C:
Density functional theory data (PBE-GGA) for crystalline MgTlF2 at its relaxed geometry.

abc: 6.502 6.502 6.502
angles: 90.00 90.00 90.00
Space group Fm-3m (No. 225)
Unique sites:
Mg  0.000  0.000  0.000
Tl  0.000  0.000  0.500
F  0.250  0.250  0.250

## Properties
DOS at the Fermi energy in states/eV/atom: 0.71
Calculated volume in A^3/atom: 17.2
Total moment in μB per formula unit: 0.54

D:
Density functional theory data (PBE-GGA) for crystalline MgTlF2 at its relaxed geometry.

abc: 6.165 6.165 8.850
angles: 90.00 90.00 90.00
Space group I4_1/amd (No. 141, origin choice 2)
Unique sites:
Mg  0.000  0.250  0.375
Tl  0.000  0.250  0.875
F  0.000  0.000  0.500

## Properties
DOS at the Fermi energy in states/eV/atom: 0.49
Calculated volume in A^3/atom: 21.0
Total moment in μB per formula unit: 0.00

Which one sits at the top of the stability order? A does.

A:
Density functional theory data (PBE-GGA) for crystalline MgTl2F8 at its relaxed geometry.

abc: 9.162 7.000 4.987
angles: 90.00 106.79 90.00
Space group C2/m (No. 12)
Unique sites:
Mg  0.000  0.000  0.000
Tl  0.178  0.500  0.411
F  0.073  0.500  0.770
F  0.141  0.000  0.773
F  0.141  0.190  0.266

## Properties
DOS at the Fermi energy in states/eV/atom: 0.00
Calculated volume in A^3/atom: 13.9
Total moment in μB per formula unit: 0.09

B:
Density functional theory data (PBE-GGA) for crystalline MgTl2F8 at its relaxed geometry.

abc: 3.769 6.271 7.326
angles: 79.46 89.95 72.58
Space group P-1 (No. 2)
Unique sites:
Mg  0.000  0.000  0.000
Tl  0.239  0.521  0.726
F  0.069  0.861  0.777
F  0.226  0.548  0.111
F  0.323  0.355  0.471
F  0.419  0.160  0.869

## Properties
DOS at the Fermi energy in states/eV/atom: 0.00
Calculated volume in A^3/atom: 14.7
Total moment in μB per formula unit: 0.12

Which one sits at the top of the stability order? A does.

A:
Density functional theory data (PBE-GGA) for crystalline Tm2MgF8 at its relaxed geometry.

abc: 9.272 6.935 4.657
angles: 90.00 107.95 90.00
Space group C2/m (No. 12)
Unique sites:
Tm  0.176  0.000  0.394
Mg  0.000  0.500  0.000
F  0.077  0.000  0.787
F  0.137  0.500  0.766
F  0.146  0.307  0.269

## Properties
DOS at the Fermi energy in states/eV/atom: 0.00
Calculated volume in A^3/atom: 13.0
Total moment in μB per formula unit: 0.00

B:
Density functional theory data (PBE-GGA) for crystalline Tm2MgF8 at its relaxed geometry.

abc: 15.892 3.315 5.742
angles: 90.00 93.14 90.00
Space group C2/m (No. 12)
Unique sites:
Tm  0.154  0.000  0.342
Mg  0.000  0.500  0.000
F  0.017  0.000  0.215
F  0.109  0.500  0.534
F  0.126  0.500  0.068
F  0.244  0.000  0.670

## Properties
DOS at the Fermi energy in states/eV/atom: 0.00
Calculated volume in A^3/atom: 13.7
Total moment in μB per formula unit: 0.00

Which one sits at the top of the stability order? A does.